Entry 1:
Entry from OQMD via LeMat-Bulk: a geometry-optimized AlPt2W structure (PBE).

Geometry as extended XYZ:
```
4
Lattice="0.0000 3.1330 3.1330 3.1330 0.0000 3.1330 3.1330 3.1330 0.0000" Properties=species:S:1:pos:R:3 pbc="T T T"
Al 3.1330 3.1330 3.1330
Pt 0.0000 0.0000 0.0000
Pt 4.6996 4.6996 4.6996
W 1.5665 1.5665 1.5665
```



Entry 2:
Entry from OQMD via LeMat-Bulk: a geometry-optimized Gd2HoAl3CuSi2 structure (PBE).

Geometry as extended XYZ:
```
9
Lattice="-1.0145 3.4592 2.1374 -6.4394 -2.4342 0.8831 4.9192 -1.4473 4.6773" Properties=species:S:1:pos:R:3 pbc="T T T"
Al -2.0315 1.1507 1.2821
Al 0.6550 1.3841 2.1795
Al -1.6663 -1.2299 5.3083
Cu -0.0049 -0.0124 0.0178
Gd -3.5166 -3.2912 3.6574
Gd 1.0957 -2.8905 5.1981
Ho -0.6167 -1.5747 2.2558
Si -3.1395 -0.3700 3.2173
Si 0.6079 -0.0444 4.4691
```



Number 1: electronic total energy -7.40 eV per atom, magnetic moment 0.013 μB per formula unit. Number 2: electronic total energy -5.04 eV per atom, magnetic moment 0.000 μB per formula unit.